Version P
{"formula": "TiAlS3", "functional": "PBE-GGA", "state": "optimized geometry", "lattice": [[4.5406, 0.0000, 0.0000], [0.0000, 4.5406, 0.0000], [0.0000, 0.0000, 4.5406]], "species": ["Ti", "Al", "S", "S", "S"], "frac_coords": [[0.0000, 0.0000, 0.0000], [0.5000, 0.5000, 0.5000], [0.0000, 0.5000, 0.5000], [0.5000, 0.0000, 0.5000], [0.5000, 0.5000, 0.0000]], "vol_a3_per_cell": 93.6, "dos_ef_per_ev_cell": 9.603}

***

Version Q
{"formula": "TiAlS3", "functional": "PBE-GGA", "state": "optimized geometry", "lattice": [[4.7157, 0.0000, 0.0000], [0.0000, 4.7157, 0.0000], [0.0000, 0.0000, 4.7157]], "species": ["Ti", "Al", "S", "S", "S"], "frac_coords": [[0.0000, 0.0000, 0.0000], [0.5000, 0.5000, 0.5000], [0.0000, 0.0000, 0.5000], [0.0000, 0.5000, 0.0000], [0.5000, 0.0000, 0.0000]], "vol_a3_per_cell": 104.9, "dos_ef_per_ev_cell": 4.132}

***

Relative calculated energies, zero for the most stable structure, unit eV/atom: version P 0.259; version Q 0.000.

***

Version P
{"formula": "Ti2AlS2", "functional": "PBE-GGA", "state": "optimized geometry", "lattice": [[-2.1485, 2.1485, 5.0519], [2.1485, -2.1485, 5.0519], [2.1485, 2.1485, -5.0519]], "species": ["Ti", "Ti", "Al", "S", "S"], "frac_coords": [[0.1343, 0.1343, 0.0000], [0.8657, 0.8657, 0.0000], [0.5000, 0.5000, 0.0000], [0.2500, 0.7500, 0.5000], [0.7500, 0.2500, 0.5000]], "vol_a3_per_cell": 93.3, "dos_ef_per_ev_cell": 5.296}

***

Version Q
{"formula": "Ti2AlS2", "functional": "PBE-GGA", "state": "optimized geometry", "lattice": [[7.0642, 0.0000, 0.0000], [0.0000, 7.0642, 0.0000], [0.0000, 0.0000, 3.1169]], "species": ["Ti", "Ti", "Ti", "Ti", "Al", "Al", "S", "S", "S", "S"], "frac_coords": [[0.1472, 0.3528, 0.0000], [0.3528, 0.8528, 0.0000], [0.6472, 0.1472, 0.0000], [0.8528, 0.6472, 0.0000], [0.0000, 0.0000, 0.0000], [0.5000, 0.5000, 0.0000], [0.1427, 0.6427, 0.5000], [0.3573, 0.1427, 0.5000], [0.6427, 0.8573, 0.5000], [0.8573, 0.3573, 0.5000]], "vol_a3_per_cell": 155.5, "dos_ef_per_ev_cell": 7.634}

***

Relative calculated energies, zero for the most stable structure, unit eV/atom: version P 0.239; version Q 0.000.